A plane-wave DFT calculation with PBE was carried out for a relaxed SrScBr2 crystal.

Values from the calculation:
- calculated total energy (eV per atom) = -3.731

Cell: 3.6054 5.2675 12.5267 Å, 90.00 90.00 90.00°
Space group Imm2 (No. 44)
Asymmetric unit:
Sr 0.0000 0.0000 0.0000 (multiplicity 2)
Sc 0.0000 0.5000 0.2399 (multiplicity 2)
Br 0.0000 0.0000 0.5462 (multiplicity 2)
Br 0.0000 0.5000 0.7336 (multiplicity 2)

***

A plane-wave DFT calculation with PBE was carried out for a relaxed La2CePmSe5 crystal.

Values from the calculation:
- calculated total energy (eV per atom) = -5.526

Cell: 5.2648 5.2648 11.0334 Å, 90.00 90.00 90.00°
Space group P4/mmm (No. 123)
Asymmetric unit:
La 0.0000 0.0000 0.1776 (multiplicity 2)
Ce 0.5000 0.5000 0.0000 (multiplicity 1)
Pm 0.5000 0.5000 0.5000 (multiplicity 1)
Se 0.0000 0.0000 0.5000 (multiplicity 1)
Se 0.0000 0.5000 0.0000 (multiplicity 2)
Se 0.5000 0.5000 0.2536 (multiplicity 2)

***

A plane-wave DFT calculation with PBE was carried out for a relaxed Dy3BiB2Rh9 crystal.

Values from the calculation:
- ΔH_f (0 K) (eV/atom) = -0.5675
- calculated total energy (eV per atom) = -7.048

Cell: 5.8580 5.8580 9.0745 Å, 90.00 90.00 120.00°
Space group P-3m1 (No. 164)
Asymmetric unit:
Dy 0.0000 0.0000 0.0000 (multiplicity 1)
Dy 0.3333 0.6667 0.7203 (multiplicity 2)
Bi 0.0000 0.0000 0.5000 (multiplicity 1)
B 0.3333 0.6667 0.1433 (multiplicity 2)
Rh 0.0000 0.5000 0.0000 (multiplicity 3)
Rh 0.1614 0.3227 0.2603 (multiplicity 6)

***

A plane-wave DFT calculation with PBE was carried out for a relaxed Al2PtSe crystal.

Values from the calculation:
- calculated total energy (eV per atom) = -4.738

Cell: 6.1052 6.1052 9.6666 Å, 90.00 90.00 90.00°
Space group I-42d (No. 122)
Asymmetric unit:
Al 0.2338 0.2500 0.1250 (multiplicity 8)
Pt 0.0000 0.0000 0.0000 (multiplicity 4)
Se 0.0000 0.0000 0.5000 (multiplicity 4)

***

A plane-wave DFT calculation with PBE was carried out for a relaxed PH6PbCCl3 crystal.

Values from the calculation:
- calculated total energy (eV per atom) = -4.168

Cell: 5.8371 8.3352 8.3462 Å, 90.43 90.21 90.06°
Space group P1 (No. 1)
Asymmetric unit:
P 0.0000 0.0000 0.0000 (multiplicity 1)
P 0.0007 0.6037 0.4117 (multiplicity 1)
H 0.0001 0.2756 0.0758 (multiplicity 1)
H 0.0015 0.7576 0.3456 (multiplicity 1)
H 0.1531 0.2408 0.8925 (multiplicity 1)
H 0.1530 0.6881 0.6627 (multiplicity 1)
H 0.1959 0.9550 0.0886 (multiplicity 1)
H 0.1966 0.5197 0.3586 (multiplicity 1)
H 0.8054 0.5195 0.3563 (multiplicity 1)
H 0.8053 0.9544 0.0888 (multiplicity 1)
H 0.8444 0.6878 0.6608 (multiplicity 1)
H 0.8447 0.2404 0.8927 (multiplicity 1)
H 0.9987 0.5021 0.6785 (multiplicity 1)
H 0.9993 0.9141 0.8554 (multiplicity 1)
Pb 0.4952 0.1017 0.5056 (multiplicity 1)
Pb 0.4994 0.5927 0.0005 (multiplicity 1)
C 0.9994 0.2102 0.9615 (multiplicity 1)
C 0.9990 0.6217 0.6251 (multiplicity 1)
Cl 0.0003 0.6160 0.0319 (multiplicity 1)
Cl 0.0104 0.0925 0.4766 (multiplicity 1)
Cl 0.4979 0.3673 0.7234 (multiplicity 1)
Cl 0.4991 0.8853 0.7680 (multiplicity 1)
Cl 0.5006 0.3491 0.2279 (multiplicity 1)
Cl 0.5017 0.8272 0.2592 (multiplicity 1)

***

A plane-wave DFT calculation with PBE was carried out for a relaxed TaAsOs crystal.

Values from the calculation:
- ΔH_f (0 K) (eV/atom) = -0.2238
- calculated total energy (eV per atom) = -9.468

Cell: 4.2989 4.2989 2.9516 Å, 90.00 90.00 120.00°
Space group P-6m2 (No. 187)
Asymmetric unit:
Ta 0.0000 0.0000 0.0000 (multiplicity 1)
As 0.6667 0.3333 0.5000 (multiplicity 1)
Os 0.3333 0.6667 0.5000 (multiplicity 1)

***

A plane-wave DFT calculation with PBE was carried out for a relaxed ScNbN2F crystal.

Values from the calculation:
- calculated total energy (eV per atom) = -7.413

Cell: 4.1722 4.1722 3.7302 Å, 90.00 90.00 90.00°
Space group P4/mmm (No. 123)
Asymmetric unit:
Sc 0.0000 0.0000 0.0000 (multiplicity 1)
Nb 0.5000 0.5000 0.5000 (multiplicity 1)
N 0.0000 0.5000 0.0000 (multiplicity 2)
F 0.0000 0.0000 0.5000 (multiplicity 1)

***

A plane-wave DFT calculation with PBE was carried out for a relaxed Sm6MgRh crystal.

Values from the calculation:
- ΔH_f (0 K) (eV/atom) = -0.0101
- calculated total energy (eV per atom) = -4.668

Cell: 7.3825 11.6196 6.5580 Å, 90.00 114.88 90.00°
Space group C2/m (No. 12)
Asymmetric unit:
Sm 0.1987 0.2008 0.2459 (multiplicity 8)
Sm 0.2303 0.0000 0.7818 (multiplicity 4)
Mg 0.0000 0.5000 0.5000 (multiplicity 2)
Rh 0.0000 0.0000 0.0000 (multiplicity 2)

***

A plane-wave DFT calculation with PBE was carried out for a relaxed Tc3Ge crystal.

Values from the calculation:
- ΔH_f (0 K) (eV/atom) = 0.0705
- calculated total energy (eV per atom) = -8.858

Cell: 6.1536 6.1536 6.1536 Å, 90.00 90.00 90.00°
Space group Fm-3m (No. 225)
Asymmetric unit:
Tc 0.0000 0.0000 0.0000 (multiplicity 4)
Tc 0.2500 0.2500 0.2500 (multiplicity 8)
Ge 0.0000 0.0000 0.5000 (multiplicity 4)

***

A plane-wave DFT calculation with PBE was carried out for a relaxed In3SiMo crystal.

Values from the calculation:
- calculated total energy (eV per atom) = -3.898

Cell: 5.2674 5.2674 5.2674 Å, 90.00 90.00 90.00°
Space group Pm-3m (No. 221)
Asymmetric unit:
In 0.0000 0.0000 0.5000 (multiplicity 3)
Si 0.5000 0.5000 0.5000 (multiplicity 1)
Mo 0.0000 0.0000 0.0000 (multiplicity 1)

***

A plane-wave DFT calculation with PBE was carried out for a relaxed La2Pm4PrDy2 crystal.

Values from the calculation:
- ΔH_f (0 K) (eV/atom) = 0.0026
- calculated total energy (eV per atom) = -4.758

Cell: 19.1375 3.6917 9.7843 Å, 90.00 115.79 90.00°
Space group C2/m (No. 12)
Asymmetric unit:
La 0.1670 0.0000 0.4982 (multiplicity 4)
Pm 0.0191 0.0000 0.8377 (multiplicity 4)
Pm 0.1864 0.5000 0.8353 (multiplicity 4)
Pr 0.0000 0.5000 0.5000 (multiplicity 2)
Dy 0.1479 0.5000 0.1651 (multiplicity 4)

***

A plane-wave DFT calculation with PBE was carried out for a relaxed HoSc2S crystal.

Values from the calculation:
- calculated total energy (eV per atom) = -6.252

Cell: 3.5493 3.5493 25.7835 Å, 90.00 90.00 120.00°
Space group R3m (No. 160, hexagonal axes)
Asymmetric unit:
Ho 0.0000 0.0000 0.0000 (multiplicity 3)
Sc 0.0000 0.0000 0.2256 (multiplicity 3)
Sc 0.0000 0.0000 0.4405 (multiplicity 3)
S 0.0000 0.0000 0.8333 (multiplicity 3)